A plane-wave DFT calculation with PBE was carried out for an optimized crystal structure of PrHf2S.

```
4
Lattice="3.4777 0.0000 0.0000 1.7388 3.0117 0.0000 1.7388 1.0039 9.3437" Properties=species:S:1:pos:R:3 pbc="T T T"
Pr 0.0000 0.0000 0.0000
S 3.4777 2.0078 4.6718
Hf 1.7388 1.0039 6.1437
Hf 5.2165 3.0117 3.2000
```

## Properties
- Total magnetization: 0.4 μB/f.u.
- Space group: No. 166
- Total energy: -7.499 eV per atom